NaMnBr | PBE-GGA | relaxed

Unit cell a=3.6426 b=3.6426 c=12.5919 alpha=98.39 beta=98.39 gamma=60.01
Element x y z (fractional)
Na (0.0000, 0.0000, 0.0000)
Na (0.2260, 0.2260, 0.6805)
Mn (0.1215, 0.1215, 0.3620)
Mn (0.7383, 0.7383, 0.2125)
Br (0.5031, 0.5031, 0.5123)
Br (0.6120, 0.6120, 0.8369)

Values from the calculation:
E above lowest polymorph: 109 meV/atom
space group: Cm, No. 8
energy relative to the elements, uncorrected: -0.787 eV/f.u.



NaMn2Br6 | PBE-GGA | relaxed

Unit cell a=6.7545 b=6.7545 c=6.6393 alpha=90.00 beta=90.00 gamma=120.00
Element x y z (fractional)
Na (0.0000, 0.0000, 0.0000)
Mn (0.3333, 0.6667, 0.5000)
Mn (0.6667, 0.3333, 0.5000)
Br (0.0000, 0.3674, 0.7256)
Br (0.0000, 0.6327, 0.2744)
Br (0.3674, 0.0000, 0.7256)
Br (0.3674, 0.3674, 0.2744)
Br (0.6327, 0.0000, 0.2744)
Br (0.6327, 0.6327, 0.7256)

Values from the calculation:
E above lowest polymorph: 0 meV/atom
space group: P-31m, No. 162
energy relative to the elements, uncorrected: -7.933 eV/f.u.



Na4MnBr6 | PBE-GGA | relaxed

Unit cell a=8.4421 b=8.4421 c=8.7428 alpha=90.00 beta=90.00 gamma=90.00
Element x y z (fractional)
Na (0.1846, 0.3154, 0.2500)
Na (0.1846, 0.3154, 0.7500)
Na (0.3154, 0.8154, 0.2500)
Na (0.3154, 0.8154, 0.7500)
Na (0.6846, 0.1846, 0.2500)
Na (0.6846, 0.1846, 0.7500)
Na (0.8154, 0.6846, 0.2500)
Na (0.8154, 0.6846, 0.7500)
Mn (0.0000, 0.0000, 0.0000)
Mn (0.5000, 0.5000, 0.5000)
Br (0.0000, 0.0000, 0.2976)
Br (0.0000, 0.0000, 0.7024)
Br (0.0985, 0.6912, 0.0000)
Br (0.1912, 0.5985, 0.5000)
Br (0.3088, 0.0985, 0.0000)
Br (0.4015, 0.1912, 0.5000)
Br (0.5000, 0.5000, 0.2024)
Br (0.5000, 0.5000, 0.7976)
Br (0.5985, 0.8088, 0.5000)
Br (0.6912, 0.9015, 0.0000)
Br (0.8088, 0.4015, 0.5000)
Br (0.9015, 0.3088, 0.0000)

Values from the calculation:
space group: P4/mnc, No. 128
energy relative to the elements, uncorrected: -14.133 eV/f.u.



Repeat the third record exactly.
Na4MnBr6 | PBE-GGA | relaxed

Unit cell a=8.4421 b=8.4421 c=8.7428 alpha=90.00 beta=90.00 gamma=90.00
Element x y z (fractional)
Na (0.1846, 0.3154, 0.2500)
Na (0.1846, 0.3154, 0.7500)
Na (0.3154, 0.8154, 0.2500)
Na (0.3154, 0.8154, 0.7500)
Na (0.6846, 0.1846, 0.2500)
Na (0.6846, 0.1846, 0.7500)
Na (0.8154, 0.6846, 0.2500)
Na (0.8154, 0.6846, 0.7500)
Mn (0.0000, 0.0000, 0.0000)
Mn (0.5000, 0.5000, 0.5000)
Br (0.0000, 0.0000, 0.2976)
Br (0.0000, 0.0000, 0.7024)
Br (0.0985, 0.6912, 0.0000)
Br (0.1912, 0.5985, 0.5000)
Br (0.3088, 0.0985, 0.0000)
Br (0.4015, 0.1912, 0.5000)
Br (0.5000, 0.5000, 0.2024)
Br (0.5000, 0.5000, 0.7976)
Br (0.5985, 0.8088, 0.5000)
Br (0.6912, 0.9015, 0.0000)
Br (0.8088, 0.4015, 0.5000)
Br (0.9015, 0.3088, 0.0000)

Values from the calculation:
space group: P4/mnc, No. 128
energy relative to the elements, uncorrected: -14.133 eV/f.u.



Which formula does entry 3 have?
Na4MnBr6



What is the energy relative to the elements, uncorrected in the second record?
-7.933 eV/f.u.